Here is crystalline CeSnI at its relaxed geometry from Alexandria. Energies are from PBE.

Lattice parameters (Å, degrees): 4.7684 4.7684 12.0479 101.50 101.50 59.82
Fractional positions:
Ce (0.0608, 0.0608, 0.1791)
Ce (0.9392, 0.9392, 0.8209)
Sn (0.3423, 0.3423, 0.0258)
Sn (0.6577, 0.6577, 0.9742)
I (0.2183, 0.2183, 0.6602)
I (0.7817, 0.7817, 0.3398)

DFT total energy   -27.80 eV per cell
Space group   C2/m, No. 12


Here is crystalline Ce2SnI at its relaxed geometry from Alexandria. Energies are from PBE.

Lattice parameters (Å, degrees): 7.5889 7.5889 7.5889 35.47 35.47 35.47
Fractional positions:
Ce (0.2460, 0.2460, 0.2460)
Ce (0.7540, 0.7540, 0.7540)
Sn (0.5000, 0.5000, 0.5000)
I (0.0000, 0.0000, 0.0000)

Offset from the most stable computed form   0 meV per atom
Space group   R-3m, No. 166


Here is crystalline CeSnI at its relaxed geometry from Alexandria. Energies are from PBE.

Lattice parameters (Å, degrees): 10.1549 10.1549 4.4123 102.48 102.48 25.14
Fractional positions:
Ce (0.1240, 0.1240, 0.1245)
Ce (0.8760, 0.8760, 0.8755)
Sn (0.0000, 0.0000, 0.5000)
Sn (0.5000, 0.5000, 0.0000)
I (0.3121, 0.3121, 0.3120)
I (0.6879, 0.6879, 0.6880)

DFT total energy   -28.32 eV per cell
Space group   C2/m, No. 12


Here is crystalline Ce2SnI at its relaxed geometry from Alexandria. Energies are from PBE.

Lattice parameters (Å, degrees): 5.5036 5.5036 5.5036 60.00 60.00 60.00
Fractional positions:
Ce (0.2500, 0.2500, 0.2500)
Ce (0.7500, 0.7500, 0.7500)
Sn (0.0000, 0.0000, 0.0000)
I (0.5000, 0.5000, 0.5000)

Offset from the most stable computed form   76 meV per atom
Space group   Fm-3m, No. 225


Here is crystalline CeSnI2 at its relaxed geometry from Alexandria. Energies are from PBE.

Lattice parameters (Å, degrees): 11.2660 11.2660 11.2660 19.99 19.99 19.99
Fractional positions:
Ce (0.0000, 0.0000, 0.0000)
Sn (0.5000, 0.5000, 0.5000)
I (0.4011, 0.4011, 0.4011)
I (0.5989, 0.5989, 0.5989)

DFT total energy   -15.48 eV per cell
Space group   R-3m, No. 166


Here is crystalline Ce4Sn2I5 at its relaxed geometry from Alexandria. Energies are from PBE.

Lattice parameters (Å, degrees): 12.4869 12.4869 8.8351 94.88 94.88 20.02
Fractional positions:
Ce (0.0176, 0.0176, 0.2818)
Ce (0.3262, 0.3262, 0.5557)
Ce (0.6738, 0.6738, 0.4443)
Ce (0.9824, 0.9824, 0.7182)
Sn (0.4435, 0.4435, 0.4501)
Sn (0.5565, 0.5565, 0.5499)
I (0.1419, 0.1419, 0.1824)
I (0.2099, 0.2099, 0.7030)
I (0.5000, 0.5000, 0.0000)
I (0.7901, 0.7901, 0.2970)
I (0.8581, 0.8581, 0.8176)

DFT total energy   -49.72 eV per cell
Space group   C2/m, No. 12


Here is crystalline SrCeI2 at its relaxed geometry from Alexandria. Energies are from PBE.

Lattice parameters (Å, degrees): 11.2379 11.2379 11.2379 21.59 21.59 21.59
Fractional positions:
Sr (0.0000, 0.0000, 0.0000)
Ce (0.5000, 0.5000, 0.5000)
I (0.4008, 0.4008, 0.4008)
I (0.5992, 0.5992, 0.5992)

DFT total energy   -13.67 eV per cell
Space group   R-3m, No. 166


Here is crystalline SrCeI4 at its relaxed geometry from Alexandria. Energies are from PBE.

Lattice parameters (Å, degrees): 9.0999 9.0999 7.5177 108.76 108.76 110.91
Fractional positions:
Sr (0.1350, 0.8650, 0.7500)
Sr (0.8650, 0.1350, 0.2500)
Ce (0.4988, 0.5012, 0.2500)
Ce (0.5012, 0.4988, 0.7500)
I (0.1351, 0.2576, 0.7638)
I (0.2017, 0.5546, 0.4132)
I (0.2576, 0.1351, 0.2638)
I (0.4454, 0.7983, 0.0868)
I (0.5546, 0.2017, 0.9132)
I (0.7424, 0.8649, 0.7362)
I (0.7983, 0.4454, 0.5868)
I (0.8649, 0.7424, 0.2362)

DFT total energy   -45.01 eV per cell
Space group   C2/c, No. 15


Here is crystalline Sr2CeI6 at its relaxed geometry from Alexandria. Energies are from PBE.

Lattice parameters (Å, degrees): 9.1128 9.1128 11.4303 104.68 104.68 29.24
Fractional positions:
Sr (0.1671, 0.1671, 0.3293)
Sr (0.8329, 0.8329, 0.6707)
Ce (0.5000, 0.5000, 0.0000)
I (0.1365, 0.1365, 0.0310)
I (0.1953, 0.1953, 0.6286)
I (0.4711, 0.4711, 0.7057)
I (0.5289, 0.5289, 0.2943)
I (0.8047, 0.8047, 0.3714)
I (0.8635, 0.8635, 0.9690)

Offset from the most stable computed form   0 meV per atom
Space group   C2/m, No. 12


Here is crystalline Sr2CeI6 at its relaxed geometry from Alexandria. Energies are from PBE.

Lattice parameters (Å, degrees): 7.8472 7.8472 14.4471 90.00 90.00 90.00
Fractional positions:
Sr (0.0000, 0.0000, 0.1708)
Sr (0.0000, 0.0000, 0.8292)
Sr (0.5000, 0.5000, 0.3292)
Sr (0.5000, 0.5000, 0.6708)
Ce (0.0000, 0.0000, 0.5000)
Ce (0.5000, 0.5000, 0.0000)
I (0.2014, 0.2014, 0.3366)
I (0.2014, 0.2014, 0.6634)
I (0.2020, 0.2020, 0.0000)
I (0.2980, 0.7020, 0.5000)
I (0.2986, 0.7014, 0.1634)
I (0.2986, 0.7014, 0.8366)
I (0.7014, 0.2986, 0.1634)
I (0.7014, 0.2986, 0.8366)
I (0.7020, 0.2980, 0.5000)
I (0.7980, 0.7980, 0.0000)
I (0.7986, 0.7986, 0.3366)
I (0.7986, 0.7986, 0.6634)

Offset from the most stable computed form   56 meV per atom
Space group   P4_2/mnm, No. 136


Here is crystalline Sr2CeI8 at its relaxed geometry from Alexandria. Energies are from PBE.

Lattice parameters (Å, degrees): 9.0708 9.0708 8.5440 90.90 90.90 49.69
Fractional positions:
Sr (0.1342, 0.1342, 0.0486)
Sr (0.8658, 0.8658, 0.9514)
Ce (0.0000, 0.0000, 0.5000)
I (0.1794, 0.1794, 0.4275)
I (0.2238, 0.7189, 0.2280)
I (0.2811, 0.7762, 0.7720)
I (0.3096, 0.3096, 0.9076)
I (0.6904, 0.6904, 0.0924)
I (0.7189, 0.2238, 0.2280)
I (0.7762, 0.2811, 0.7720)
I (0.8206, 0.8206, 0.5725)

DFT total energy   -36.69 eV per cell
Space group   C2/m, No. 12


Here is crystalline SrCeTl2I8 at its relaxed geometry from Alexandria. Energies are from PBE.

Lattice parameters (Å, degrees): 7.6009 9.6718 8.1801 90.00 91.65 90.00
Fractional positions:
Sr (0.0000, 0.0000, 0.0000)
Ce (0.0000, 0.5000, 0.0000)
Tl (0.5000, 0.2458, 0.5000)
Tl (0.5000, 0.7542, 0.5000)
I (0.2071, 0.5000, 0.3165)
I (0.2367, 0.2708, 0.8671)
I (0.2367, 0.7292, 0.8671)
I (0.2462, 0.0000, 0.3300)
I (0.7538, 0.0000, 0.6700)
I (0.7633, 0.2708, 0.1329)
I (0.7633, 0.7292, 0.1329)
I (0.7929, 0.5000, 0.6835)

DFT total energy   -37.89 eV per cell
Space group   P2/m, No. 10


Here is crystalline CeTaI at its relaxed geometry from Alexandria. Energies are from PBE.

Lattice parameters (Å, degrees): 3.6633 3.6633 13.2932 90.16 90.04 90.00
Fractional positions:
Ce (0.2496, 0.2474, 0.2964)
Ce (0.7504, 0.7526, 0.7036)
Ta (0.2500, 0.2502, 0.5402)
Ta (0.7500, 0.7498, 0.4598)
I (0.2508, 0.2542, 0.8585)
I (0.7492, 0.7458, 0.1415)

DFT total energy   -40.47 eV per cell
Space group   P-1, No. 2


Here is crystalline CeTaI2 at its relaxed geometry from Alexandria. Energies are from PBE.

Lattice parameters (Å, degrees): 10.5365 10.5365 10.5365 19.40 19.40 19.40
Fractional positions:
Ce (0.0000, 0.0000, 0.0000)
Ta (0.5000, 0.5000, 0.5000)
I (0.4111, 0.4111, 0.4111)
I (0.5889, 0.5889, 0.5889)

DFT total energy   -19.94 eV per cell
Space group   R-3m, No. 166


Here is crystalline Tb2CeI at its relaxed geometry from Alexandria. Energies are from PBE.

Lattice parameters (Å, degrees): 3.6570 3.6570 9.4385 90.00 90.00 90.00
Fractional positions:
Tb (0.0000, 0.0000, 0.2477)
Tb (0.0000, 0.0000, 0.7523)
Ce (0.5000, 0.5000, 0.5000)
I (0.5000, 0.5000, 0.0000)

Offset from the most stable computed form   76 meV per atom
Space group   P4/mmm, No. 123


Here is crystalline TbCe2I6 at its relaxed geometry from Alexandria. Energies are from PBE.

Lattice parameters (Å, degrees): 8.6207 8.6207 8.6207 53.54 53.54 53.54
Fractional positions:
Tb (0.0000, 0.0000, 0.0000)
Ce (0.1637, 0.1637, 0.1637)
Ce (0.3284, 0.3284, 0.3284)
I (0.0623, 0.4172, 0.7522)
I (0.2371, 0.9090, 0.5950)
I (0.4172, 0.7522, 0.0623)
I (0.5950, 0.2371, 0.9090)
I (0.7522, 0.0623, 0.4172)
I (0.9090, 0.5950, 0.2371)

Offset from the most stable computed form   63 meV per atom
Space group   R3, No. 146


Here is crystalline TbCeI at its relaxed geometry from Alexandria. Energies are from PBE.

Lattice parameters (Å, degrees): 7.5468 7.5468 7.5468 151.86 151.86 40.21
Fractional positions:
Tb (0.0000, 0.0000, 0.0000)
Ce (0.6780, 0.6780, 0.0000)
I (0.3408, 0.3408, 0.0000)

Offset from the most stable computed form   56 meV per atom
Space group   I4mm, No. 107


Here is crystalline TbCeI at its relaxed geometry from Alexandria. Energies are from PBE.

Lattice parameters (Å, degrees): 7.2414 7.2414 7.5238 102.38 102.38 29.43
Fractional positions:
Tb (0.2022, 0.2022, 0.1688)
Tb (0.7978, 0.7978, 0.8312)
Ce (0.4682, 0.4682, 0.1536)
Ce (0.5318, 0.5318, 0.8464)
I (0.1332, 0.1332, 0.5528)
I (0.8668, 0.8668, 0.4472)

Offset from the most stable computed form   0 meV per atom
Space group   C2/m, No. 12


Here is crystalline Tb2CeI6 at its relaxed geometry from Alexandria. Energies are from PBE.

Lattice parameters (Å, degrees): 8.2985 8.2985 13.1092 116.00 116.00 28.10
Fractional positions:
Tb (0.1806, 0.1806, 0.3000)
Tb (0.8194, 0.8194, 0.7000)
Ce (0.5000, 0.5000, 0.0000)
I (0.1638, 0.1638, 0.5414)
I (0.2800, 0.2800, 0.8606)
I (0.4811, 0.4811, 0.7478)
I (0.5189, 0.5189, 0.2522)
I (0.7200, 0.7200, 0.1394)
I (0.8362, 0.8362, 0.4586)

DFT total energy   -34.84 eV per cell
Space group   C2/m, No. 12


Here is crystalline TbCeI at its relaxed geometry from Alexandria. Energies are from PBE.

Lattice parameters (Å, degrees): 5.3998 5.3998 3.7290 90.00 90.00 120.00
Fractional positions:
Tb (0.0000, 0.0000, 0.0000)
Ce (0.3333, 0.6667, 0.5001)
I (0.6667, 0.3333, 0.9985)

Offset from the most stable computed form   262 meV per atom
Space group   P3m1, No. 156


Here is crystalline TbCeI2 at its relaxed geometry from Alexandria. Energies are from PBE.

Lattice parameters (Å, degrees): 11.0289 11.0289 11.0289 20.34 20.34 20.34
Fractional positions:
Tb (0.0000, 0.0000, 0.0000)
Ce (0.5000, 0.5000, 0.5000)
I (0.0955, 0.0955, 0.0955)
I (0.9045, 0.9045, 0.9045)

DFT total energy   -16.32 eV per cell
Space group   R-3m, No. 166


Here is crystalline Tb2CeI8 at its relaxed geometry from Alexandria. Energies are from PBE.

Lattice parameters (Å, degrees): 9.5222 9.5222 7.4027 92.22 92.22 70.61
Fractional positions:
Tb (0.1827, 0.1827, 0.1405)
Tb (0.8173, 0.8173, 0.8595)
Ce (0.0000, 0.0000, 0.5000)
I (0.1279, 0.7094, 0.7432)
I (0.1814, 0.1814, 0.7393)
I (0.2906, 0.8721, 0.2568)
I (0.3584, 0.3584, 0.2629)
I (0.6416, 0.6416, 0.7371)
I (0.7094, 0.1279, 0.7432)
I (0.8186, 0.8186, 0.2607)
I (0.8721, 0.2906, 0.2568)

DFT total energy   -40.83 eV per cell
Space group   C2/m, No. 12


Here is crystalline TbCe2I6 at its relaxed geometry from Alexandria. Energies are from PBE.

Lattice parameters (Å, degrees): 9.0310 9.0310 11.5805 115.17 115.17 26.91
Fractional positions:
Tb (0.0000, 0.0000, 0.0000)
Ce (0.3224, 0.3224, 0.6501)
Ce (0.6776, 0.6776, 0.3499)
I (0.0229, 0.0229, 0.2799)
I (0.3218, 0.3218, 0.3732)
I (0.3600, 0.3600, 0.9528)
I (0.6400, 0.6400, 0.0472)
I (0.6782, 0.6782, 0.6268)
I (0.9771, 0.9771, 0.7201)

Offset from the most stable computed form   0 meV per atom
Space group   C2/m, No. 12


Here is crystalline Tb2CeI at its relaxed geometry from Alexandria. Energies are from PBE.

Lattice parameters (Å, degrees): 10.7066 10.7066 10.7066 20.03 20.03 20.03
Fractional positions:
Tb (0.2456, 0.2456, 0.2456)
Tb (0.7544, 0.7544, 0.7544)
Ce (0.0000, 0.0000, 0.0000)
I (0.5000, 0.5000, 0.5000)

Offset from the most stable computed form   0 meV per atom
Space group   R-3m, No. 166


Here is crystalline TbCeI6 at its relaxed geometry from Alexandria. Energies are from PBE.

Lattice parameters (Å, degrees): 8.1610 8.1610 7.6360 98.26 98.26 124.18
Fractional positions:
Tb (0.0000, 0.0000, 0.0000)
Ce (0.5000, 0.5000, 0.5000)
I (0.0915, 0.3891, 0.2436)
I (0.2489, 0.2489, 0.7561)
I (0.3891, 0.0915, 0.2436)
I (0.6109, 0.9085, 0.7564)
I (0.7511, 0.7511, 0.2439)
I (0.9085, 0.6109, 0.7564)

Offset from the most stable computed form   0 meV per atom
Space group   C2/m, No. 12